1.
Mn3H3Rh: optimized geometry, PBE.

Geometry as POSCAR:
```
Mn3H3Rh
1.0
2.2308 1.2880 6.5673
-2.2308 1.2880 6.5673
0.0000 -2.5759 6.5673
Mn H Rh
6 6 2
Cartesian
-0.7710 -1.3371 7.4964 Mn
-1.5435 -0.0008 12.2056 Mn
-0.7725 1.3363 7.4964 Mn
0.7725 -1.3363 12.2056 Mn
1.5435 0.0008 7.4964 Mn
0.7710 1.3371 12.2056 Mn
-1.4228 -0.0025 8.5769 H
-0.7092 -1.2334 11.1250 H
0.7136 -1.2309 8.5769 H
-0.7136 1.2309 11.1250 H
0.7092 1.2334 8.5769 H
1.4228 0.0025 11.1250 H
0.0000 0.0000 3.2853 Rh
0.0000 0.0000 16.4166 Rh
```

Output
Symmetry: R-3, No. 148
E_tot in eV/cell: -88.920
Magnetic moment in μB per formula unit: 0.02

2.
SbAsPd4: optimized geometry, PBE.

Geometry as POSCAR:
```
SbAsPd4
1.0
5.3974 0.0000 0.0000
0.0000 7.5935 0.0000
-1.7600 0.0000 4.9754
Sb As Pd
2 2 8
Cartesian
0.0000 0.0000 0.0000 Sb
-0.8800 3.7968 2.4877 Sb
1.8187 0.0000 2.4877 As
2.6987 3.7968 0.0000 As
-0.3236 1.2239 3.0369 Pd
0.5564 2.5728 0.5492 Pd
1.3918 5.1024 1.7664 Pd
0.5118 6.2878 4.2541 Pd
3.1256 1.3057 0.7213 Pd
2.2455 2.4911 3.2090 Pd
3.0810 5.0207 4.4262 Pd
3.9610 6.3696 1.9385 Pd
```

Output
Symmetry: P2_1/c, No. 14
Energy relative to the elements, uncorrected in eV/atom: -0.34
Magnetic moment in μB per formula unit: 0.00
E above lowest polymorph in meV/atom: 51

3.
OsBr3F2: optimized geometry, PBE.

Geometry as POSCAR:
```
OsBr3F2
1.0
5.0480 -4.1791 0.0000
5.0480 4.1791 0.0000
-3.0964 0.0000 7.9472
Os Br F
2 6 4
Cartesian
2.7257 3.7409 5.9604 Os
4.2739 -3.7409 1.9868 Os
4.8431 2.7086 0.5173 Br
3.7047 2.7086 3.4563 Br
2.7257 1.2195 5.9604 Br
4.2739 -1.2195 1.9868 Br
3.2949 -2.7086 4.4909 Br
2.1565 -2.7086 7.4299 Br
1.0020 0.4613 2.6768 F
-0.5462 -0.4613 6.6504 F
7.5457 0.4613 1.2969 F
5.9975 -0.4613 5.2705 F
```

Output
Symmetry: C2/c, No. 15
Energy relative to the elements, uncorrected in eV/atom: -0.63
Magnetic moment in μB per formula unit: 2.16

4.
Y5Mg4Hg: optimized geometry, PBE.

Geometry as POSCAR:
```
Y5Mg4Hg
1.0
3.8003 0.0000 0.0000
0.0000 3.8003 0.0000
0.0000 0.0000 18.7727
Y Mg Hg
5 4 1
Cartesian
0.0000 0.0000 0.0000 Y
0.0000 0.0000 3.7998 Y
0.0000 0.0000 7.5764 Y
0.0000 0.0000 11.1963 Y
0.0000 0.0000 14.9729 Y
1.9001 1.9001 1.8995 Mg
1.9001 1.9001 5.6495 Mg
1.9001 1.9001 13.1233 Mg
1.9001 1.9001 16.8732 Mg
1.9001 1.9001 9.3864 Hg
```

Output
Symmetry: P4/mmm, No. 123
Energy of formation from the pure elements in meV/atom: -190
Magnetic moment in μB per formula unit: 0.00

5.
Pd2SBr8: optimized geometry, PBE.

Geometry as POSCAR:
```
Pd2SBr8
1.0
6.5761 0.0000 0.0000
2.1249 6.4439 0.0000
3.1700 1.6220 9.0674
Pd S Br
2 1 8
Cartesian
1.5888 0.1817 0.9258 Pd
10.2823 7.8841 8.1416 Pd
1.5850 0.8110 4.5337 S
3.6340 2.8987 8.0232 Br
4.7587 6.0268 6.4159 Br
4.6385 5.5167 2.9943 Br
3.6232 1.6065 0.6205 Br
8.2479 6.4594 8.4468 Br
7.2326 2.5492 6.0730 Br
7.1124 2.0391 2.6515 Br
8.2371 5.1672 1.0441 Br
```

Output
Symmetry: P-1, No. 2
Energy relative to the elements, uncorrected in eV/atom: -0.10
Magnetic moment in μB per formula unit: 1.42

6.
SrICl6: optimized geometry, PBE.

Geometry as POSCAR:
```
SrICl6
1.0
6.4784 0.0000 0.0000
-2.7698 6.2868 0.0000
-3.1721 -1.3991 6.3918
Sr I Cl
1 1 6
Cartesian
0.0000 0.0000 0.0000 Sr
-2.9709 2.4439 3.1959 I
-0.9671 2.3758 1.6815 Cl
-1.8524 0.7539 4.6951 Cl
-1.7958 4.6926 4.8125 Cl
2.3324 0.1952 1.5793 Cl
2.3890 4.1339 1.6967 Cl
1.5037 2.5119 4.7103 Cl
```

Output
Symmetry: P-1, No. 2
Energy relative to the elements, uncorrected in eV/atom: -0.87
Magnetic moment in μB per formula unit: 1.03

7.
NbSOF2: optimized geometry, PBE.

Geometry as POSCAR:
```
NbSOF2
1.0
4.2526 0.0000 0.0000
0.0000 4.2526 0.0000
0.0000 0.0000 3.9395
Nb S O F
1 1 1 2
Cartesian
0.0000 0.0000 0.0000 Nb
2.1263 2.1263 1.9698 S
0.0000 0.0000 1.9698 O
0.0000 2.1263 0.0000 F
2.1263 0.0000 0.0000 F
```

Output
Symmetry: P4/mmm, No. 123
Energy relative to the elements, uncorrected in eV/atom: -1.45
Magnetic moment in μB per formula unit: 1.01
E above lowest polymorph in meV/atom: 0

8.
Pm3Y2Ir2: optimized geometry, PBE.

Geometry as POSCAR:
```
Pm3Y2Ir2
1.0
6.1161 -1.9682 0.0000
6.1161 1.9682 0.0000
-3.8355 0.0000 8.0656
Pm Y Ir
3 2 2
Cartesian
0.0000 0.0000 0.0000 Pm
-0.2149 0.0000 3.4594 Pm
8.6116 0.0000 4.6062 Pm
3.3127 0.0000 1.5209 Y
5.0840 0.0000 6.5447 Y
0.9585 0.0000 6.1588 Ir
7.4381 0.0000 1.9069 Ir
```

Output
Symmetry: C2/m, No. 12
Energy of formation from the pure elements in meV/atom: -545
Magnetic moment in μB per formula unit: 0.00

9.
CaZnO: optimized geometry, PBE.

Geometry as POSCAR:
```
CaZnO
1.0
3.4253 0.0000 0.0000
0.0000 3.4253 0.0000
0.0000 0.0000 8.7737
Ca Zn O
2 2 2
Cartesian
0.8563 0.8563 1.1995 Ca
2.5690 2.5690 7.5742 Ca
0.8563 2.5690 4.3869 Zn
2.5690 0.8563 4.3869 Zn
0.8563 0.8563 7.6366 O
2.5690 2.5690 1.1372 O
```

Output
Symmetry: P4/nmm, No. 129
Energy relative to the elements, uncorrected in eV/atom: -1.65
Magnetic moment in μB per formula unit: 0.00

10.
PmNdHo3: optimized geometry, PBE.

Geometry as POSCAR:
```
PmNdHo3
1.0
6.5136 0.0000 0.0000
-3.2369 5.6779 0.0000
-3.0843 -1.8285 8.8679
Pm Nd Ho
2 2 6
Cartesian
0.5605 -0.0147 1.6974 Pm
-0.3681 3.8641 7.1705 Pm
3.2568 0.0000 0.0000 Nd
0.0962 1.9247 4.4339 Nd
-1.8148 2.4251 1.6658 Ho
-3.1779 3.8118 4.8498 Ho
-1.2777 0.5656 7.2080 Ho
1.4700 3.2838 1.6599 Ho
3.3702 0.0376 4.0181 Ho
2.0071 1.4244 7.2021 Ho
```

Output
Symmetry: P-1, No. 2
Energy of formation from the pure elements in meV/atom: 176
Magnetic moment in μB per formula unit: 0.00
E above lowest polymorph in meV/atom: 0

11.
TmSn2: optimized geometry, PBE.

Geometry as POSCAR:
```
TmSn2
1.0
0.0000 4.3456 4.3456
4.3456 0.0000 4.3456
4.3456 4.3456 0.0000
Tm Sn
2 4
Cartesian
1.0864 1.0864 1.0864 Tm
7.6048 7.6048 7.6048 Tm
4.3456 2.1728 2.1728 Sn
2.1728 4.3456 2.1728 Sn
2.1728 2.1728 4.3456 Sn
4.3456 4.3456 4.3456 Sn
```

Output
Symmetry: Fd-3m, No. 227
Energy of formation from the pure elements in meV/atom: -154
Magnetic moment in μB per formula unit: 0.45

12.
NaTe2AsO8: optimized geometry, PBE.

Geometry as POSCAR:
```
NaTe2AsO8
1.0
3.2641 -3.4477 0.0000
3.2641 3.4477 0.0000
0.0000 0.0000 6.5416
Na Te As O
1 2 1 8
Cartesian
0.0000 0.0000 0.0000 Na
3.2641 0.0000 1.6341 Te
3.2641 0.0000 4.9076 Te
0.0000 0.0000 3.2708 As
1.2499 0.0000 1.8891 O
1.2499 0.0000 4.6525 O
3.2641 1.4404 3.2708 O
3.2641 1.2168 0.0000 O
3.2641 -1.2168 0.0000 O
3.2641 -1.4404 3.2708 O
5.2783 0.0000 1.8891 O
5.2783 0.0000 4.6525 O
```

Output
Symmetry: Cmmm, No. 65
Energy relative to the elements, uncorrected in eV/atom: -0.98
Magnetic moment in μB per formula unit: 0.00

13.
CrCo2Mo: optimized geometry, PBE.

Geometry as POSCAR:
```
CrCo2Mo
1.0
1.2975 0.7491 8.3699
-1.2975 0.7491 8.3699
0.0000 -1.4982 8.3699
Cr Co Mo
1 2 1
Cartesian
0.0000 0.0000 0.0000 Cr
0.0000 0.0000 6.4125 Co
0.0000 0.0000 18.6973 Co
0.0000 0.0000 12.5549 Mo
```

Output
Symmetry: R-3m, No. 166
Energy of formation from the pure elements in meV/atom: 240
Magnetic moment in μB per formula unit: 0.00
E above lowest polymorph in meV/atom: 203

14.
Y2Be4Ir5: optimized geometry, PBE.

Geometry as POSCAR:
```
Y2Be4Ir5
1.0
0.0000 4.7085 6.2130
2.8392 0.0000 6.2130
2.8392 4.7085 0.0000
Y Be Ir
2 4 5
Cartesian
2.8392 4.7085 1.6836 Y
2.8392 4.7085 10.7425 Y
2.8392 3.2153 4.5723 Be
2.8392 3.2153 7.8538 Be
2.8392 6.2018 4.5723 Be
2.8392 6.2018 7.8538 Be
1.4196 2.3543 0.0000 Ir
1.4196 2.3543 3.1065 Ir
1.4196 2.3543 6.2130 Ir
2.8392 4.7085 6.2130 Ir
4.2587 7.0628 9.3195 Ir
```

Output
Symmetry: Fmmm, No. 69
Energy of formation from the pure elements in meV/atom: -652
Magnetic moment in μB per formula unit: 0.00

15.
PmGd4Dy: optimized geometry, PBE.

Geometry as POSCAR:
```
PmGd4Dy
1.0
0.0000 4.6681 4.6681
4.6681 0.0000 4.6681
4.6681 4.6681 0.0000
Pm Gd Dy
1 4 1
Cartesian
0.0000 0.0000 0.0000 Pm
3.5032 3.5032 3.5032 Gd
5.8330 5.8330 3.5032 Gd
5.8330 3.5032 5.8330 Gd
3.5032 5.8330 5.8330 Gd
7.0021 7.0021 7.0021 Dy
```

Output
Symmetry: F-43m, No. 216
Energy of formation from the pure elements in meV/atom: 258
Magnetic moment in μB per formula unit: 28.50

16.
Ce5SmSb3: optimized geometry, PBE.

Geometry as POSCAR:
```
Ce5SmSb3
1.0
8.2059 -4.7359 0.0000
8.2059 4.7359 0.0000
-0.0069 0.0000 6.4963
Ce Sm Sb
10 2 6
Cartesian
5.4150 1.6103 1.6218 Ce
8.2007 3.2194 4.8722 Ce
2.7353 0.0002 0.0001 Ce
2.7319 -0.0002 3.2483 Ce
5.4115 -1.6103 4.8700 Ce
10.9934 1.6103 1.6263 Ce
13.6695 -0.0002 6.4961 Ce
13.6730 0.0002 3.2480 Ce
8.2042 -3.2194 1.6241 Ce
10.9899 -1.6103 4.8744 Ce
8.2059 0.0000 0.0000 Sm
8.2024 0.0000 3.2481 Sm
5.5017 1.5580 4.8702 Sb
8.2042 3.1150 1.6241 Sb
5.5051 -1.5580 1.6220 Sb
10.8997 1.5580 4.8743 Sb
8.2007 -3.1150 4.8722 Sb
10.9032 -1.5580 1.6261 Sb
```

Output
Symmetry: C2/c, No. 15
Energy relative to the elements, uncorrected in eV/atom: -0.66
Magnetic moment in μB per formula unit: 4.67

17.
Sc2CdRh4: optimized geometry, PBE.

Geometry as POSCAR:
```
Sc2CdRh4
1.0
2.2190 1.2812 7.1877
-2.2190 1.2812 7.1877
0.0000 -2.5623 7.1877
Sc Cd Rh
2 1 4
Cartesian
0.0000 0.0000 5.3292 Sc
0.0000 0.0000 16.2341 Sc
0.0000 0.0000 0.0000 Cd
0.0000 0.0000 2.7661 Rh
0.0000 0.0000 8.2254 Rh
0.0000 0.0000 13.3379 Rh
0.0000 0.0000 18.7972 Rh
```

Output
Symmetry: R-3m, No. 166
Energy of formation from the pure elements in meV/atom: -375
Magnetic moment in μB per formula unit: 0.00

18.
Cs2AgIrO6: optimized geometry, PBE.

Geometry as POSCAR:
```
Cs2AgIrO6
1.0
0.0000 4.4002 4.4002
4.4002 0.0000 4.4002
4.4002 4.4002 0.0000
Cs Ag Ir O
2 1 1 6
Cartesian
2.2001 2.2001 2.2001 Cs
6.6003 6.6003 6.6003 Cs
0.0000 0.0000 0.0000 Ag
4.4002 4.4002 4.4002 Ir
4.4002 4.4002 2.5195 O
4.4002 2.5195 4.4002 O
6.2809 4.4002 4.4002 O
2.5195 4.4002 4.4002 O
4.4002 6.2809 4.4002 O
4.4002 4.4002 6.2809 O
```

Output
Symmetry: Fm-3m, No. 225
Energy relative to the elements, uncorrected in eV/atom: -0.70
Magnetic moment in μB per formula unit: 0.00

19.
CaPr8Nd2: optimized geometry, PBE.

Geometry as POSCAR:
```
CaPr8Nd2
1.0
-2.8858 4.3489 8.1239
2.8858 -4.3489 8.1239
2.8858 4.3489 -8.1239
Ca Pr Nd
1 8 2
Cartesian
0.0000 0.0000 0.0000 Ca
2.8858 -1.7543 5.8041 Pr
2.8858 0.0000 2.5629 Pr
2.8858 2.6677 0.0000 Pr
0.0000 2.5946 2.3198 Pr
2.8858 1.7543 5.8041 Pr
0.0000 1.6812 8.1239 Pr
0.0000 4.3489 5.5610 Pr
0.0000 6.1033 2.3198 Pr
0.0000 0.0000 4.8292 Nd
0.0000 0.0000 11.4186 Nd
```

Output
Symmetry: Immm, No. 71
Energy of formation from the pure elements in meV/atom: 138
Magnetic moment in μB per formula unit: 0.00

20.
NaIn4Sn5: optimized geometry, PBE.

Geometry as POSCAR:
```
NaIn4Sn5
1.0
3.8993 0.0000 0.0000
0.0000 3.8993 0.0000
0.0000 0.0000 17.9544
Na In Sn
1 4 5
Cartesian
0.0000 0.0000 0.0000 Na
0.0000 0.0000 3.5301 In
0.0000 0.0000 7.1758 In
0.0000 0.0000 10.7786 In
0.0000 0.0000 14.4243 In
1.9497 1.9497 1.9483 Sn
1.9497 1.9497 5.3481 Sn
1.9497 1.9497 8.9772 Sn
1.9497 1.9497 12.6063 Sn
1.9497 1.9497 16.0061 Sn
```

Output
Symmetry: P4/mmm, No. 123
Energy of formation from the pure elements in meV/atom: 9
Magnetic moment in μB per formula unit: 0.00
E above lowest polymorph in meV/atom: 8